Below is a relaxed structure of Pr3S4, with properties calculated at the PBE level.

Properties
The value obtained for the size of the total moment is 0.000 μB per atom. The calculation puts the volume at 23.134 Å³/atom. The calculation puts the raw formation energy at -2.0162 eV per atom. The value obtained for the energy relative to the lowest polymorph listed for this composition is 0.000 eV per formula unit.

```
Pr3S4
1.0
-4.326 4.326 4.326
4.326 -4.326 4.326
4.326 4.326 -4.326
Pr S
6 8
direct
0.125 0.750 0.875
0.250 0.625 0.375
0.375 0.250 0.625
0.625 0.375 0.250
0.750 0.875 0.125
0.875 0.125 0.750
0.000 0.351 0.500
0.000 0.851 0.500
0.149 0.149 0.149
0.351 0.500 0.000
0.500 0.000 0.351
0.500 0.000 0.851
0.649 0.649 0.649
0.851 0.500 0.000
```